1.
# GGA-PBE Cu2NiGeBr, relaxed
data_Cu2NiGeBr
_chemical_formula_sum 'Cu2 Ni1 Ge1 Br1'
_space_group_name_H-M_alt 'P 1'
_space_group_IT_number 1
_cell_length_a 4.464
_cell_length_b 4.464
_cell_length_c 5.656
_cell_angle_alpha 90.00
_cell_angle_beta 90.00
_cell_angle_gamma 90.00
loop_
_space_group_symop_operation_xyz
'x,y,z'
loop_
_atom_site_label
_atom_site_fract_x
_atom_site_fract_y
_atom_site_fract_z
Cu1 0.000 0.500 0.000
Cu2 0.500 0.000 0.000
Ni1 0.000 0.000 0.500
Ge1 0.500 0.500 0.000
Br1 0.500 0.500 0.500
# Calculated volume   22.5 A^3/atom
# Formation energy from raw total energies   0.877 eV/atom
# Space group   P4/mmm, No. 123
# M_tot   1.0 μB/cell


2.
# GGA-PBE Cu2GePbBr, relaxed
data_Cu2GePbBr
_chemical_formula_sum 'Cu2 Ge1 Pb1 Br1'
_space_group_name_H-M_alt 'P 1'
_space_group_IT_number 1
_cell_length_a 4.624
_cell_length_b 4.624
_cell_length_c 5.720
_cell_angle_alpha 90.00
_cell_angle_beta 90.00
_cell_angle_gamma 90.00
loop_
_space_group_symop_operation_xyz
'x,y,z'
loop_
_atom_site_label
_atom_site_fract_x
_atom_site_fract_y
_atom_site_fract_z
Cu1 0.000 0.500 0.000
Cu2 0.500 0.000 0.000
Ge1 0.000 0.000 0.000
Pb1 0.500 0.500 0.500
Br1 0.000 0.000 0.500
# Calculated volume   24.5 A^3/atom
# Formation energy from raw total energies   0.312 eV/atom
# Space group   P4/mmm, No. 123
# M_tot   0.0 μB/cell


3.
# GGA-PBE Pm8CuGe3Br4, relaxed
data_Pm8CuGe3Br4
_chemical_formula_sum 'Pm8 Cu1 Ge3 Br4'
_space_group_name_H-M_alt 'P 1'
_space_group_IT_number 1
_cell_length_a 8.688
_cell_length_b 8.688
_cell_length_c 8.688
_cell_angle_alpha 58.72
_cell_angle_beta 58.72
_cell_angle_gamma 58.72
loop_
_space_group_symop_operation_xyz
'x,y,z'
loop_
_atom_site_label
_atom_site_fract_x
_atom_site_fract_y
_atom_site_fract_z
Pm1 0.239 0.239 0.239
Pm2 0.243 0.736 0.736
Pm3 0.264 0.264 0.757
Pm4 0.264 0.757 0.264
Pm5 0.736 0.243 0.736
Pm6 0.736 0.736 0.243
Pm7 0.757 0.264 0.264
Pm8 0.761 0.761 0.761
Cu1 0.500 0.500 0.500
Ge1 0.000 0.000 0.500
Ge2 0.000 0.500 0.000
Ge3 0.500 0.000 0.000
Br1 0.000 0.000 0.000
Br2 0.000 0.500 0.500
Br3 0.500 0.000 0.500
Br4 0.500 0.500 0.000
# Calculated volume   28.1 A^3/atom
# Formation energy from raw total energies   -1.011 eV/atom
# Space group   R-3m, No. 166
# M_tot   0.0 μB/cell